[1]
# MnCuMo2 (PBE, optimized geometry)
# calculated total energy	-8.5382	eV per atom
# energy relative to the lowest polymorph listed for this composition	0.6	kJ/mol of atoms
# magnetization	1.067	μB/f.u.
# formation enthalpy at 0 K	194	meV per atom
data_MnCuMo2
_chemical_formula_sum 'Mn1 Cu1 Mo2'
_symmetry_space_group_name_H-M 'P 4/m m m'
_symmetry_Int_Tables_number 123
_symmetry_space_group_name_Hall '-P 4 2'
_cell_length_a 3.798
_cell_length_b 3.798
_cell_length_c 3.816
_cell_angle_alpha 90.00
_cell_angle_beta 90.00
_cell_angle_gamma 90.00
loop_
_atom_site_label
_atom_site_type_symbol
_atom_site_fract_x
_atom_site_fract_y
_atom_site_fract_z
Mn1 Mn 0.000 0.000 0.000
Cu1 Cu 0.500 0.500 0.000
Mo1 Mo 0.000 0.500 0.500

=====

[2]
# Pa2ReMo3 (PBE, optimized geometry)
# calculated total energy	-10.6434	eV per atom
# magnetization	0.000	μB/f.u.
# formation enthalpy at 0 K	12	meV per atom
data_Pa2ReMo3
_chemical_formula_sum 'Pa4 Re2 Mo6'
_symmetry_space_group_name_H-M 'C 1 2/m 1'
_symmetry_Int_Tables_number 12
_cell_length_a 9.026
_cell_length_b 5.976
_cell_length_c 5.271
_cell_angle_alpha 90.00
_cell_angle_beta 125.48
_cell_angle_gamma 90.00
loop_
_symmetry_equiv_pos_as_xyz
'x,y,z'
'-x,-y,-z'
'-x,y,-z'
'x,-y,z'
'x+1/2,y+1/2,z'
'-x+1/2,-y+1/2,-z'
'-x+1/2,y+1/2,-z'
'x+1/2,-y+1/2,z'
loop_
_atom_site_label
_atom_site_type_symbol
_atom_site_fract_x
_atom_site_fract_y
_atom_site_fract_z
Pa1 Pa 0.117 0.000 0.368
Re1 Re 0.000 0.500 0.500
Mo1 Mo 0.000 0.500 0.000
Mo2 Mo 0.250 0.250 0.000

=====

[3]
# Ag6RhCl12 (PBE, optimized geometry)
# formation energy (no corrections)	-0.4478	eV per atom
# calculated total energy	-2.9014	eV per atom
# magnetization	0.000	μB/f.u.
data_Ag6RhCl12
_chemical_formula_sum 'Ag18 Rh3 Cl36'
_symmetry_space_group_name_H-M 'R -3'
_symmetry_Int_Tables_number 148
_symmetry_space_group_name_Hall '-R 3'
_cell_length_a 10.9777
_cell_length_b 10.9777
_cell_length_c 14.5938
_cell_angle_alpha 90.00
_cell_angle_beta 90.00
_cell_angle_gamma 120.00
loop_
_atom_site_label
_atom_site_type_symbol
_atom_site_fract_x
_atom_site_fract_y
_atom_site_fract_z
Ag1 Ag 0.0396 0.2662 0.1669
Rh1 Rh 0.0000 0.0000 0.5000
Cl1 Cl 0.0230 0.1992 0.8805
Cl2 Cl 0.0763 0.2008 0.4080

=====

[4]
# AcNi2Sn8 (PBE, optimized geometry)
# calculated total energy	-4.4514	eV per atom
# magnetization	0.000	μB/f.u.
# formation enthalpy at 0 K	-116	meV per atom
data_AcNi2Sn8
_chemical_formula_sum 'Ac1 Ni2 Sn8'
_symmetry_space_group_name_H-M 'P 4/m m m'
_symmetry_Int_Tables_number 123
_symmetry_space_group_name_Hall '-P 4 2'
_cell_length_a 6.308
_cell_length_b 6.308
_cell_length_c 8.349
_cell_angle_alpha 90.00
_cell_angle_beta 90.00
_cell_angle_gamma 90.00
loop_
_atom_site_label
_atom_site_type_symbol
_atom_site_fract_x
_atom_site_fract_y
_atom_site_fract_z
Ac1 Ac 0.000 0.000 0.000
Ni1 Ni 0.000 0.500 0.500
Sn1 Sn 0.254 0.254 0.314

=====

[5]
# La3Re2N7 (PBE, optimized geometry)
# formation energy (no corrections)	-0.7257	eV per atom
# calculated total energy	-8.8887	eV per atom
# magnetization	0.000	μB/f.u.
data_La3Re2N7
_chemical_formula_sum 'La6 Re4 N14'
_symmetry_space_group_name_H-M 'C m m m'
_symmetry_Int_Tables_number 65
_symmetry_space_group_name_Hall '-C 2 2'
_cell_length_a 3.986
_cell_length_b 21.174
_cell_length_c 3.888
_cell_angle_alpha 90.00
_cell_angle_beta 90.00
_cell_angle_gamma 90.00
loop_
_atom_site_label
_atom_site_type_symbol
_atom_site_fract_x
_atom_site_fract_y
_atom_site_fract_z
La1 La 0.000 0.000 0.000
La2 La 0.000 0.179 0.000
Re1 Re 0.000 0.404 0.500
N1 N 0.000 0.094 0.500
N2 N 0.000 0.308 0.500
N3 N 0.000 0.403 0.000
N4 N 0.000 0.500 0.500

=====

[6]
# BeRuPb2 (PBE, optimized geometry)
# calculated total energy	-4.3911	eV per atom
# energy relative to the lowest polymorph listed for this composition	52.5	kJ/mol of atoms
# magnetization	0.000	μB/f.u.
# formation enthalpy at 0 K	714	meV per atom
data_BeRuPb2
_chemical_formula_sum 'Be2 Ru2 Pb4'
_symmetry_space_group_name_H-M 'I m m m'
_symmetry_Int_Tables_number 71
_symmetry_space_group_name_Hall '-I 2 2'
_cell_length_a 3.995
_cell_length_b 4.940
_cell_length_c 7.875
_cell_angle_alpha 90.00
_cell_angle_beta 90.00
_cell_angle_gamma 90.00
loop_
_atom_site_label
_atom_site_type_symbol
_atom_site_fract_x
_atom_site_fract_y
_atom_site_fract_z
Be1 Be 0.000 0.000 0.000
Ru1 Ru 0.000 0.000 0.500
Pb1 Pb 0.000 0.500 0.262

=====

[7]
# LaY2Sb (PBE, optimized geometry)
# formation energy (no corrections)	-0.5179	eV per atom
# calculated total energy	-6.0124	eV per atom
# magnetization	0.000	μB/f.u.
data_LaY2Sb
_chemical_formula_sum 'La2 Y4 Sb2'
_symmetry_space_group_name_H-M 'I m m m'
_symmetry_Int_Tables_number 71
_symmetry_space_group_name_Hall '-I 2 2'
_cell_length_a 4.045
_cell_length_b 5.408
_cell_length_c 11.566
_cell_angle_alpha 90.00
_cell_angle_beta 90.00
_cell_angle_gamma 90.00
loop_
_atom_site_label
_atom_site_type_symbol
_atom_site_fract_x
_atom_site_fract_y
_atom_site_fract_z
La1 La 0.000 0.000 0.000
Y1 Y 0.000 0.500 0.213
Sb1 Sb 0.000 0.000 0.500

=====

[8]
# BaScGe2 (PBE, optimized geometry)
# calculated total energy	-4.8083	eV per atom
# energy relative to the lowest polymorph listed for this composition	0.0	kJ/mol of atoms
# magnetization	0.000	μB/f.u.
# formation enthalpy at 0 K	-436	meV per atom
data_BaScGe2
_chemical_formula_sum 'Ba3 Sc3 Ge6'
_symmetry_space_group_name_H-M 'R -3 m'
_symmetry_Int_Tables_number 166
_symmetry_space_group_name_Hall '-R 3 2"'
_cell_length_a 4.5537
_cell_length_b 4.5537
_cell_length_c 18.9366
_cell_angle_alpha 90.00
_cell_angle_beta 90.00
_cell_angle_gamma 120.00
loop_
_atom_site_label
_atom_site_type_symbol
_atom_site_fract_x
_atom_site_fract_y
_atom_site_fract_z
Ba1 Ba 0.0000 0.0000 0.0000
Sc1 Sc 0.0000 0.0000 0.5000
Ge1 Ge 0.0000 0.0000 0.2173

=====

Q: Which of these has the highest magnetization?
A: MnCuMo2

=====

Q: Which value of calculated total energy does entry 6 give?
A: -4.3911 eV per atom

=====

Q: calculated total energy of number 4 (AcNi2Sn8)?
A: -4.4514 eV per atom